(1)
A plane-wave DFT calculation with GGA-PBE was carried out for a geometry-optimized GaPHPtN structure.

## Properties
* raw total energy: -54.512 eV for the cell shown
* magnetization: 0.00 μB/atom
* space-group type: Cm (8)

Geometry as POSCAR:
```
GaPHPtN
1.0
7.507 0.000 0.011
0.000 3.404 0.000
-0.060 0.000 5.895
Ga P H Pt N
2 2 2 2 2
Cartesian
2.839 0.000 3.279 Ga
2.869 1.702 0.331 Ga
5.236 0.000 3.308 P
5.266 1.702 0.361 P
1.253 0.000 5.228 H
1.283 1.702 2.281 H
6.337 0.000 1.355 Pt
6.307 1.702 4.303 Pt
2.296 0.000 5.238 N
2.326 1.702 2.291 N
```

(2)
A plane-wave DFT calculation with GGA-PBE was carried out for a geometry-optimized GaPHPtN structure.

## Properties
* raw total energy: -25.329 eV for the cell shown
* magnetization: 0.00 μB/atom
* space-group type: Amm2 (38)

Geometry as POSCAR:
```
GaPHPtN
1.0
-2.286 -1.653 1.252
0.352 -2.053 -2.067
5.629 -2.378 3.318
Ga P H Pt N
1 1 1 1 1
Cartesian
0.503 -3.509 1.486 Ga
4.498 -3.079 1.739 P
3.126 -3.744 2.166 H
-0.146 -0.505 0.477 Pt
1.275 -1.519 1.725 N
```

(3)
A plane-wave DFT calculation with GGA-PBE was carried out for a geometry-optimized GaPHPtN structure.

## Properties
* raw total energy: -27.165 eV for the cell shown
* magnetization: 0.00 μB/atom
* space-group type: Pm (6)

Geometry as POSCAR:
```
GaPHPtN
1.0
-1.140 3.535 1.647
-1.994 0.508 -2.472
-4.021 -3.188 2.588
Ga P H Pt N
1 1 1 1 1
Cartesian
-3.622 1.677 1.174 Ga
-4.026 -0.665 1.019 P
-0.741 -0.393 0.517 H
-4.273 -1.173 3.206 Pt
-1.882 2.121 1.955 N
```

(4)
A plane-wave DFT calculation with GGA-PBE was carried out for a geometry-optimized GaHPb2N structure.

## Properties
* raw total energy: -16.981 eV for the cell shown
* magnetization: 0.00 μB/atom
* space-group type: P4/mmm (123)

Geometry as POSCAR:
```
GaHPb2N
1.0
5.402 0.000 0.000
0.000 3.350 0.000
0.000 0.000 5.402
Pb H Ga N
2 1 1 1
Cartesian
0.000 0.000 2.701 Pb
2.701 0.000 0.000 Pb
0.000 1.675 0.000 H
0.000 0.000 0.000 Ga
2.701 1.675 2.701 N
```

(5)
A plane-wave DFT calculation with GGA-PBE was carried out for a geometry-optimized Rb2GaHN structure.

## Properties
* raw total energy: -15.008 eV for the cell shown
* magnetization: 0.00 μB/atom
* space-group type: P4/mmm (123)

Geometry as POSCAR:
```
Rb2GaHN
1.0
6.523 0.000 0.000
0.000 3.780 0.000
0.000 0.000 6.523
H Ga Rb N
1 1 2 1
Cartesian
3.262 1.890 3.262 H
0.000 0.000 0.000 Ga
0.000 0.000 3.262 Rb
3.262 0.000 0.000 Rb
0.000 1.890 0.000 N
```

(6)
A plane-wave DFT calculation with GGA-PBE was carried out for a geometry-optimized GaHRu2N structure.

## Properties
* raw total energy: -28.302 eV for the cell shown
* magnetization: 0.00 μB/atom
* space-group type: P4/mmm (123)

Geometry as POSCAR:
```
GaHRu2N
1.0
4.007 0.000 0.000
0.000 3.414 0.000
0.000 0.000 4.007
Ru H Ga N
2 1 1 1
Cartesian
0.000 0.000 2.003 Ru
2.003 0.000 0.000 Ru
0.000 0.000 0.000 H
0.000 1.707 0.000 Ga
2.003 1.707 2.003 N
```

(7)
A plane-wave DFT calculation with GGA-PBE was carried out for a geometry-optimized GaHSN structure.

## Properties
* raw total energy: -18.467 eV for the cell shown
* magnetization: 0.00 μB/atom
* space-group type: P1 (1)

Geometry as POSCAR:
```
GaHSN
1.0
3.501 -0.007 0.001
1.608 4.150 0.008
1.630 1.527 4.026
Ga H S N
1 1 1 1
Cartesian
4.316 1.055 1.704 Ga
2.596 0.958 0.004 H
6.161 4.428 4.012 S
4.178 4.444 0.811 N
```

(8)
A plane-wave DFT calculation with GGA-PBE was carried out for a geometry-optimized GaH2SN structure.

## Properties
* raw total energy: -20.176 eV for the cell shown
* magnetization: 0.00 μB/atom
* space-group type: P4/mmm (123)

Geometry as POSCAR:
```
GaH2SN
1.0
-0.239 -2.166 -2.103
5.606 -1.388 0.793
-0.795 -1.990 2.139
H S Ga N
2 1 1 1
Cartesian
-0.398 -0.995 1.070 H
-0.119 -1.083 -1.051 H
0.000 0.000 0.000 S
2.803 -0.694 0.396 Ga
2.286 -2.772 0.415 N
```